4
Lattice="-2.045 1.827 1.267 1.315 -1.597 4.425 3.672 3.665 -2.960" Properties=species:S:1:pos:R:3 comment="Tl2FeMo (PBEsol, relaxed)" de_polymorph_kj_per_mol_atoms=0.0 ef_ev_per_fu=2.63 spacegroup="No. 8" dos_at_fermi_per_ev_atom=0.899 pbc="T T T"
Fe -0.047 0.307 3.083
Tl 1.555 5.286 -1.512
Tl 0.676 2.981 0.394
Mo 2.019 0.928 1.921

18
Lattice="7.042 0.000 0.000 0.000 10.092 0.000 0.000 -5.046 8.740" Properties=species:S:1:pos:R:3 comment="Sr5Cd4 (PBEsol, relaxed)" ef_ev_per_fu=-1.85 spacegroup="No. 193" dos_at_fermi_per_ev_atom=1.042 pbc="T T T"
Sr 5.281 7.249 0.000
Sr 1.760 2.843 0.000
Sr 1.760 -1.421 2.462
Sr 3.521 0.000 5.827
Sr 0.000 0.000 5.827
Sr 5.281 1.421 2.462
Sr 0.000 5.046 2.913
Sr 3.521 5.046 2.913
Sr 1.760 3.625 6.278
Sr 5.281 -3.625 6.278
Cd 5.281 3.103 5.375
Cd 1.760 -3.103 5.375
Cd 1.760 1.943 3.365
Cd 5.281 3.885 0.000
Cd 3.521 0.000 0.000
Cd 0.000 0.000 0.000
Cd 5.281 -1.943 3.365
Cd 1.760 6.207 0.000

48
Lattice="-0.418 3.211 4.136 -7.131 -6.389 4.240 10.545 -7.301 6.734" Properties=species:S:1:pos:R:3 comment="FePO4 (PBEsol, relaxed)" spacegroup="No. 29" e_form_raw_ev_per_atom=-1.7891 pbc="T T T"
Fe 6.728 -10.424 9.258
Fe -3.114 -5.287 6.896
Fe 0.423 -1.872 5.060
Fe 9.937 -4.486 10.671
Fe 1.495 -3.674 9.189
Fe -1.713 -9.612 7.775
Fe 2.548 -8.589 10.032
Fe 6.085 -5.174 8.196
O 3.296 -7.118 9.172
O -0.963 -8.333 6.665
O 0.187 -0.721 3.630
O 6.160 -4.572 9.950
O 5.526 -2.675 5.302
O 1.725 -3.140 4.712
O 2.900 -10.118 9.041
O 0.721 -8.311 10.145
O 3.630 -3.405 3.077
O 7.040 -6.753 8.053
O -1.191 -7.996 11.765
O -4.756 -5.958 7.458
O 4.322 -5.391 7.672
O -3.290 -2.200 4.043
O -0.344 -3.453 9.250
O -6.939 -4.751 6.991
O 2.668 -7.057 6.740
O -2.922 -1.172 6.293
O 3.320 -8.758 11.705
O 8.292 -5.146 11.210
O 5.107 -11.269 9.557
O 0.937 -0.233 1.268
O -1.193 -2.742 5.366
O 6.858 -3.902 7.080
O 2.523 -9.259 14.047
O -3.414 -3.642 6.102
O 2.221 -2.210 8.317
O -1.995 -5.145 8.364
O 1.877 -5.226 8.251
O 0.895 -0.914 6.578
O -2.364 -6.460 5.669
O 6.497 -9.211 7.874
P -1.631 -4.242 9.560
P 2.322 -4.028 3.601
P 3.256 -8.238 13.156
P -2.702 -2.441 5.447
P 7.209 -8.024 7.197
P 0.925 0.282 2.720
P 3.040 -6.198 7.964
P -0.587 -8.921 10.691

4
Lattice="4.382 0.053 0.000 -0.053 4.382 0.000 0.000 0.000 6.387" Properties=species:S:1:pos:R:3 comment="BaLaBr2 (PBEsol, relaxed)" spacegroup="No. 99" e_form_raw_ev_per_atom=-1.3854 dos_at_fermi_per_ev_atom=0.818 pbc="T T T"
Br 2.164 2.217 2.158
Br 0.000 0.000 5.856
Ba 2.164 2.217 5.315
La 0.000 0.000 2.638

4
Lattice="-4.049 -1.067 1.375 -2.107 -3.428 -1.799 -0.633 -3.676 2.347" Properties=species:S:1:pos:R:3 comment="BeAg2Ge (PBEsol, relaxed)" ef_ev_per_fu=1.26 spacegroup="No. 225" dos_at_fermi_per_ev_atom=0.322 pbc="T T T"
Ag -1.697 -2.043 0.481
Ag -5.091 -6.128 1.442
Be 0.000 0.000 0.000
Ge -3.394 -4.085 0.961

5
Lattice="5.258 0.000 0.000 0.000 5.345 0.000 0.000 0.000 5.345" Properties=species:S:1:pos:R:3 comment="TiTePdI2 (PBEsol, relaxed)" de_polymorph_kj_per_mol_atoms=0.0 spacegroup="No. 123" e_form_raw_ev_per_atom=0.2745 dos_at_fermi_per_ev_atom=1.108 pbc="T T T"
Te 2.629 0.000 0.000
Ti 0.000 0.000 0.000
I 0.000 0.000 2.672
I 0.000 2.672 0.000
Pd 2.629 2.672 2.672

4
Lattice="-0.321 -3.326 -2.982 3.699 -1.689 -1.877 1.380 -4.120 1.084" Properties=species:S:1:pos:R:3 comment="ScNiAs2 (PBEsol, relaxed)" ef_ev_per_fu=-1.50 spacegroup="No. 225" dos_at_fermi_per_ev_atom=1.092 pbc="T T T"
As 1.189 -2.284 -0.944
As 3.568 -6.851 -2.831
Ni 0.000 0.000 0.000
Sc 2.379 -4.568 -1.888

5
Lattice="3.912 0.000 0.000 0.000 5.029 0.000 0.000 0.000 5.029" Properties=species:S:1:pos:R:3 comment="ScP2IO (PBEsol, relaxed)" spacegroup="No. 123" e_form_raw_ev_per_atom=0.2997 dos_at_fermi_per_ev_atom=0.266 pbc="T T T"
I 0.000 0.000 0.000
O 1.956 0.000 0.000
Sc 1.956 2.515 2.515
P 0.000 0.000 2.515
P 0.000 2.515 0.000